No. 1
Computed, not measured: crystalline Y2MnCu at its relaxed geometry at the GGA-PBE level of DFT.

Cell lengths 4.895, 4.895, 4.895 Å; angles 60.00, 60.00, 60.00 degrees
Sites, in units of the cell vectors:
Y 0.000 0.000 0.000
Y 0.250 0.250 0.250
Mn 0.500 0.500 0.500
Cu 0.750 0.750 0.750

Summary:
Energy of formation from the pure elements ... 287 meV/atom
Calculated total energy ... -6.2617 eV/atom
Size of the total moment ... 3.56 Bohr magnetons per cell

No. 2
Computed, not measured: crystalline YTcOs2 at its relaxed geometry at the GGA-PBE level of DFT.

Cell lengths 9.710, 9.710, 9.710 Å; angles 16.78, 16.78, 16.78 degrees
Sites, in units of the cell vectors:
Y 0.000 0.000 0.000
Tc 0.500 0.500 0.500
Os 0.241 0.241 0.241
Os 0.759 0.759 0.759

Summary:
Energy of formation from the pure elements ... 432 meV/atom
Calculated total energy ... -9.3901 eV/atom
Size of the total moment ... 0.15 Bohr magnetons per cell
E above lowest polymorph ... 0.256 eV per atom

No. 3
Computed, not measured: crystalline Lu12Zn3H5 at its relaxed geometry at the GGA-PBE level of DFT.

Cell lengths 12.868, 12.868, 12.868 Å; angles 109.47, 109.47, 109.47 degrees
Sites, in units of the cell vectors:
Lu 0.017 0.209 0.113
Lu 0.017 0.309 0.905
Lu 0.095 0.613 0.404
Lu 0.095 0.983 0.691
Lu 0.096 0.709 0.691
Lu 0.096 0.887 0.405
Lu 0.113 0.017 0.209
Lu 0.113 0.595 0.904
Lu 0.191 0.209 0.596
Lu 0.191 0.483 0.595
Lu 0.209 0.113 0.017
Lu 0.209 0.596 0.191
Lu 0.291 0.309 0.904
Lu 0.291 0.483 0.387
Lu 0.309 0.904 0.291
Lu 0.309 0.905 0.017
Lu 0.387 0.291 0.483
Lu 0.387 0.596 0.905
Lu 0.404 0.095 0.613
Lu 0.404 0.809 0.791
Lu 0.405 0.096 0.887
Lu 0.405 0.809 0.517
Lu 0.483 0.387 0.291
Lu 0.483 0.595 0.191
Lu 0.517 0.405 0.809
Lu 0.517 0.613 0.709
Lu 0.595 0.191 0.483
Lu 0.595 0.904 0.113
Lu 0.596 0.191 0.209
Lu 0.596 0.905 0.387
Lu 0.613 0.404 0.095
Lu 0.613 0.709 0.517
Lu 0.691 0.095 0.983
Lu 0.691 0.096 0.709
Lu 0.709 0.517 0.613
Lu 0.709 0.691 0.096
Lu 0.791 0.404 0.809
Lu 0.791 0.887 0.983
Lu 0.809 0.517 0.405
Lu 0.809 0.791 0.404
Lu 0.887 0.405 0.096
Lu 0.887 0.983 0.791
Lu 0.904 0.113 0.595
Lu 0.904 0.291 0.309
Lu 0.905 0.017 0.309
Lu 0.905 0.387 0.596
Lu 0.983 0.691 0.095
Lu 0.983 0.791 0.887
Zn 0.125 0.250 0.375
Zn 0.125 0.375 0.750
Zn 0.250 0.375 0.125
Zn 0.250 0.875 0.625
Zn 0.375 0.125 0.250
Zn 0.375 0.750 0.125
Zn 0.625 0.250 0.875
Zn 0.625 0.875 0.750
Zn 0.750 0.125 0.375
Zn 0.750 0.625 0.875
Zn 0.875 0.625 0.250
Zn 0.875 0.750 0.625
H 0.000 0.000 0.000
H 0.000 0.000 0.500
H 0.000 0.500 0.000
H 0.000 0.500 0.500
H 0.125 0.750 0.875
H 0.125 0.875 0.250
H 0.250 0.125 0.875
H 0.250 0.625 0.375
H 0.375 0.250 0.625
H 0.375 0.625 0.750
H 0.500 0.000 0.000
H 0.500 0.000 0.500
H 0.500 0.500 0.000
H 0.500 0.500 0.500
H 0.625 0.375 0.250
H 0.625 0.750 0.375
H 0.750 0.375 0.625
H 0.750 0.875 0.125
H 0.875 0.125 0.750
H 0.875 0.250 0.125

Summary:
Calculated total energy ... -3.9642 eV/atom
Size of the total moment ... 0.00 Bohr magnetons per cell

No. 4
Computed, not measured: crystalline InCuSnSe4 at its relaxed geometry at the GGA-PBE level of DFT.

Cell lengths 7.074, 7.074, 7.074 Å; angles 131.24, 131.24, 71.44 degrees
Sites, in units of the cell vectors:
In 0.000 0.000 0.000
Cu 0.500 0.500 0.000
Sn 0.750 0.250 0.500
Se 0.152 0.120 0.530
Se 0.378 0.848 0.967
Se 0.589 0.622 0.470
Se 0.880 0.411 0.033

Summary:
Formation energy (no corrections) ... -2.8 eV/f.u.
Calculated total energy ... -3.9361 eV/atom
Size of the total moment ... 0.00 Bohr magnetons per cell
E above lowest polymorph ... 0.000 eV per atom

No. 5
Computed, not measured: crystalline NbP2O2 at its relaxed geometry at the GGA-PBE level of DFT.

Cell lengths 4.882, 4.882, 3.872 Å; angles 90.00, 90.00, 90.00 degrees
Sites, in units of the cell vectors:
Nb 0.000 0.000 0.000
P 0.000 0.500 0.000
P 0.500 0.000 0.000
O 0.000 0.000 0.500
O 0.500 0.500 0.500

Summary:
Formation energy (no corrections) ... 1.2 eV/f.u.
Calculated total energy ... -5.9254 eV/atom
Size of the total moment ... 0.00 Bohr magnetons per cell
E above lowest polymorph ... 1.115 eV per atom

No. 6
Computed, not measured: crystalline ScGaIrAu at its relaxed geometry at the GGA-PBE level of DFT.

Cell lengths 4.560, 4.560, 4.560 Å; angles 60.00, 60.00, 60.00 degrees
Sites, in units of the cell vectors:
Sc 0.000 0.000 0.000
Ga 0.500 0.500 0.500
Ir 0.250 0.250 0.250
Au 0.750 0.750 0.750

Summary:
Energy of formation from the pure elements ... -568 meV/atom
Calculated total energy ... -5.9420 eV/atom
Size of the total moment ... 0.00 Bohr magnetons per cell

No. 7
Computed, not measured: crystalline Na2NpBeO6 at its relaxed geometry at the GGA-PBE level of DFT.

Cell lengths 5.809, 5.809, 5.207 Å; angles 114.93, 114.93, 53.62 degrees
Sites, in units of the cell vectors:
Na 0.249 0.249 0.209
Na 0.751 0.751 0.791
Np 0.000 0.000 0.500
Be 0.500 0.500 0.000
O 0.202 0.202 0.609
O 0.234 0.681 0.182
O 0.319 0.766 0.818
O 0.681 0.234 0.182
O 0.766 0.319 0.818
O 0.798 0.798 0.391

Summary:
Formation energy (no corrections) ... -20.4 eV/f.u.
Calculated total energy ... -6.9478 eV/atom
Size of the total moment ... 0.00 Bohr magnetons per cell

No. 8
Computed, not measured: crystalline NaPr3Al8 at its relaxed geometry at the GGA-PBE level of DFT.

Cell lengths 9.862, 9.862, 9.862 Å; angles 33.52, 33.52, 33.52 degrees
Sites, in units of the cell vectors:
Na 0.000 0.000 0.000
Pr 0.122 0.122 0.122
Pr 0.501 0.501 0.501
Pr 0.629 0.629 0.629
Al 0.064 0.064 0.561
Al 0.064 0.561 0.064
Al 0.066 0.564 0.564
Al 0.314 0.314 0.314
Al 0.561 0.064 0.064
Al 0.564 0.066 0.564
Al 0.564 0.564 0.066
Al 0.813 0.813 0.813

Summary:
Energy of formation from the pure elements ... -361 meV/atom
Calculated total energy ... -4.1607 eV/atom
Size of the total moment ... 0.00 Bohr magnetons per cell

No. 9
Computed, not measured: crystalline TiNb14Sb at its relaxed geometry at the GGA-PBE level of DFT.

Cell lengths 5.744, 5.744, 9.361 Å; angles 90.00, 90.00, 108.58 degrees
Sites, in units of the cell vectors:
Ti 0.000 0.000 0.000
Nb 0.000 0.000 0.500
Nb 0.000 0.500 0.000
Nb 0.000 0.500 0.500
Nb 0.241 0.241 0.256
Nb 0.241 0.241 0.744
Nb 0.251 0.749 0.246
Nb 0.251 0.749 0.754
Nb 0.500 0.000 0.000
Nb 0.500 0.000 0.500
Nb 0.500 0.500 0.500
Nb 0.749 0.251 0.246
Nb 0.749 0.251 0.754
Nb 0.759 0.759 0.256
Nb 0.759 0.759 0.744
Sb 0.500 0.500 0.000

Summary:
Formation energy (no corrections) ... -0.9 eV/f.u.
Calculated total energy ... -9.6198 eV/atom
Size of the total moment ... 0.00 Bohr magnetons per cell

No. 10
Computed, not measured: crystalline DyHo5Er7 at its relaxed geometry at the GGA-PBE level of DFT.

Cell lengths 8.579, 8.579, 8.579 Å; angles 134.60, 100.43, 96.72 degrees
Sites, in units of the cell vectors:
Dy 0.000 0.000 0.000
Ho 0.032 0.037 0.459
Ho 0.032 0.573 0.995
Ho 0.305 0.805 0.500
Ho 0.578 0.037 0.005
Ho 0.578 0.573 0.541
Er 0.225 0.555 0.671
Er 0.307 0.307 0.000
Er 0.386 0.056 0.330
Er 0.613 0.613 0.000
Er 0.726 0.056 0.670
Er 0.806 0.306 0.500
Er 0.884 0.555 0.329

Summary:
Energy of formation from the pure elements ... 262 meV/atom
Calculated total energy ... -4.3096 eV/atom
Size of the total moment ... 0.00 Bohr magnetons per cell

No. 11
Computed, not measured: crystalline Pm3Ge2I3 at its relaxed geometry at the GGA-PBE level of DFT.

Cell lengths 9.363, 9.363, 6.049 Å; angles 90.00, 90.00, 120.00 degrees
Sites, in units of the cell vectors:
Pm 0.000 0.395 0.250
Pm 0.000 0.605 0.750
Pm 0.395 0.000 0.250
Pm 0.395 0.395 0.750
Pm 0.605 0.000 0.750
Pm 0.605 0.605 0.250
Ge 0.333 0.667 0.000
Ge 0.333 0.667 0.500
Ge 0.667 0.333 0.000
Ge 0.667 0.333 0.500
I 0.000 0.252 0.750
I 0.000 0.748 0.250
I 0.252 0.000 0.750
I 0.252 0.252 0.250
I 0.748 0.000 0.250
I 0.748 0.748 0.750

Summary:
Formation energy (no corrections) ... -7.6 eV/f.u.
Calculated total energy ... -4.4692 eV/atom
Size of the total moment ... 0.00 Bohr magnetons per cell

No. 12
Computed, not measured: crystalline Cs2RbTl2Cd at its relaxed geometry at the GGA-PBE level of DFT.

Cell lengths 10.200, 10.200, 10.200 Å; angles 125.00, 81.59, 124.94 degrees
Sites, in units of the cell vectors:
Cs 0.201 0.163 0.364
Cs 0.299 0.663 0.962
Cs 0.701 0.337 0.038
Cs 0.799 0.837 0.636
Rb 0.250 0.750 0.500
Rb 0.750 0.250 0.500
Tl 0.056 0.821 0.877
Tl 0.444 0.321 0.765
Tl 0.556 0.679 0.235
Tl 0.944 0.179 0.123
Cd 0.250 0.250 0.000
Cd 0.750 0.750 0.000

Summary:
Energy of formation from the pure elements ... -43 meV/atom
Calculated total energy ... -1.4300 eV/atom
Size of the total moment ... 0.00 Bohr magnetons per cell

No. 13
Computed, not measured: crystalline Sc2TcIr at its relaxed geometry at the GGA-PBE level of DFT.

Cell lengths 3.208, 3.208, 6.599 Å; angles 90.00, 90.00, 90.00 degrees
Sites, in units of the cell vectors:
Sc 0.000 0.000 0.249
Sc 0.000 0.000 0.751
Tc 0.500 0.500 0.000
Ir 0.500 0.500 0.500

Summary:
Energy of formation from the pure elements ... -536 meV/atom
Calculated total energy ... -8.5081 eV/atom
Size of the total moment ... 0.00 Bohr magnetons per cell

No. 14
Computed, not measured: crystalline Ag2AsS4 at its relaxed geometry at the GGA-PBE level of DFT.

Cell lengths 6.324, 6.324, 6.324 Å; angles 119.44, 119.44, 90.97 degrees
Sites, in units of the cell vectors:
Ag 0.250 0.750 0.500
Ag 0.750 0.250 0.500
As 0.000 0.000 0.000
S 0.082 0.082 0.419
S 0.337 0.918 0.000
S 0.663 0.663 0.581
S 0.918 0.337 0.000

Summary:
Formation energy (no corrections) ... 0.2 eV/f.u.
Calculated total energy ... -3.8102 eV/atom
Size of the total moment ... 0.00 Bohr magnetons per cell
E above lowest polymorph ... 0.000 eV per atom

No. 15
Computed, not measured: crystalline CdCu at its relaxed geometry at the GGA-PBE level of DFT.

Cell lengths 2.932, 2.932, 9.086 Å; angles 90.00, 90.00, 120.00 degrees
Sites, in units of the cell vectors:
Cd 0.333 0.667 0.350
Cd 0.667 0.333 0.650
Cu 0.333 0.667 0.898
Cu 0.667 0.333 0.102

Summary:
Energy of formation from the pure elements ... 131 meV/atom
Calculated total energy ... -2.3748 eV/atom
Size of the total moment ... 0.00 Bohr magnetons per cell

No. 16
Computed, not measured: crystalline TaNb2NiPd at its relaxed geometry at the GGA-PBE level of DFT.

Cell lengths 4.523, 4.523, 4.568 Å; angles 90.00, 90.00, 90.00 degrees
Sites, in units of the cell vectors:
Ta 0.000 0.000 0.000
Nb 0.000 0.500 0.500
Nb 0.500 0.000 0.500
Ni 0.500 0.500 0.500
Pd 0.500 0.500 0.000

Summary:
Energy of formation from the pure elements ... 805 meV/atom
Calculated total energy ... -7.7885 eV/atom
Size of the total moment ... 0.00 Bohr magnetons per cell

No. 17
Computed, not measured: crystalline Ca2Sn2GeRh5 at its relaxed geometry at the GGA-PBE level of DFT.

Cell lengths 10.315, 10.315, 3.503 Å; angles 90.00, 90.00, 90.00 degrees
Sites, in units of the cell vectors:
Ca 0.167 0.333 0.000
Ca 0.333 0.833 0.000
Ca 0.667 0.167 0.000
Ca 0.833 0.667 0.000
Sn 0.133 0.633 0.000
Sn 0.367 0.133 0.000
Sn 0.633 0.867 0.000
Sn 0.867 0.367 0.000
Ge 0.000 0.000 0.000
Ge 0.500 0.500 0.000
Rh 0.000 0.500 0.500
Rh 0.062 0.814 0.500
Rh 0.186 0.062 0.500
Rh 0.314 0.562 0.500
Rh 0.438 0.314 0.500
Rh 0.500 0.000 0.500
Rh 0.562 0.686 0.500
Rh 0.686 0.438 0.500
Rh 0.814 0.938 0.500
Rh 0.938 0.186 0.500

Summary:
Energy of formation from the pure elements ... -464 meV/atom
Calculated total energy ... -5.8020 eV/atom
Size of the total moment ... 0.00 Bohr magnetons per cell

No. 18
Computed, not measured: crystalline Ho3Hg2Pd6 at its relaxed geometry at the GGA-PBE level of DFT.

Cell lengths 15.794, 15.794, 15.794 Å; angles 165.95, 165.95, 19.92 degrees
Sites, in units of the cell vectors:
Ho 0.000 0.000 0.000
Ho 0.186 0.186 0.000
Ho 0.814 0.814 0.000
Hg 0.367 0.367 0.000
Hg 0.633 0.633 0.000
Pd 0.067 0.567 0.500
Pd 0.276 0.276 0.000
Pd 0.433 0.933 0.500
Pd 0.567 0.067 0.500
Pd 0.724 0.724 0.000
Pd 0.933 0.433 0.500

Summary:
Energy of formation from the pure elements ... -529 meV/atom
Calculated total energy ... -4.6645 eV/atom
Size of the total moment ... 0.00 Bohr magnetons per cell

No. 19
Computed, not measured: crystalline Sr2ZnCdS at its relaxed geometry at the GGA-PBE level of DFT.

Cell lengths 5.687, 5.687, 5.205 Å; angles 90.00, 90.00, 90.00 degrees
Sites, in units of the cell vectors:
Sr 0.000 0.500 0.000
Sr 0.500 0.000 0.000
Zn 0.000 0.000 0.500
Cd 0.500 0.500 0.500
S 0.500 0.500 0.000

Summary:
Formation energy (no corrections) ... -2.3 eV/f.u.
Calculated total energy ... -2.4036 eV/atom
Size of the total moment ... 0.00 Bohr magnetons per cell

No. 20
Computed, not measured: crystalline Cs2PrPaS6 at its relaxed geometry at the GGA-PBE level of DFT.

Cell lengths 7.722, 7.722, 7.722 Å; angles 60.00, 60.00, 60.00 degrees
Sites, in units of the cell vectors:
Cs 0.250 0.250 0.250
Cs 0.750 0.750 0.750
Pr 0.000 0.000 0.000
Pa 0.500 0.500 0.500
S 0.260 0.260 0.740
S 0.260 0.740 0.260
S 0.260 0.740 0.740
S 0.740 0.260 0.260
S 0.740 0.260 0.740
S 0.740 0.740 0.260

Summary:
Formation energy (no corrections) ... -13.6 eV/f.u.
Calculated total energy ... -5.4302 eV/atom
Size of the total moment ... 0.00 Bohr magnetons per cell